A relaxed structure of TiHg3P. Source: Alexandria, functional GGA-PBE.

Computed properties:
E_tot in eV per atom: -1.9810
Excess energy over the best structure of this formula in the dataset in eV/atom: 0.000
Spin magnetization in μB per atom: 0.000
ΔE_f in eV/atom: 0.861
D(E_F) in states/eV per cell: 7.1

a = 5.003 Å, b = 5.003 Å, c = 5.003 Å
α = 90.00°, β = 90.00°, γ = 90.00°
Element x y z (fractional)
Ti1 0.000 0.000 0.000
Hg1 0.000 0.500 0.500
Hg2 0.500 0.000 0.500
Hg3 0.500 0.500 0.000
P1 0.500 0.500 0.500

---

A relaxed structure of TiHgP2. Source: Alexandria, functional GGA-PBE.

Computed properties:
E_tot in eV per atom: -4.9025
Spin magnetization in μB per atom: 0.000
ΔE_f in eV/atom: -0.148
D(E_F) in states/eV per cell: 0.0

a = 7.048 Å, b = 7.048 Å, c = 7.048 Å
α = 131.65°, β = 131.65°, γ = 70.78°
Element x y z (fractional)
Ti1 0.000 0.000 0.000
Ti2 0.750 0.250 0.500
Hg1 0.250 0.750 0.500
Hg2 0.500 0.500 0.000
P1 0.093 0.625 0.968
P2 0.375 0.343 0.468
P3 0.657 0.125 0.032
P4 0.875 0.907 0.532

---

A relaxed structure of TiHg2P. Source: Alexandria, functional GGA-PBE.

Computed properties:
E_tot in eV per atom: -3.7357
Spin magnetization in μB per atom: 0.000
ΔE_f in eV/atom: -0.259
D(E_F) in states/eV per cell: 3.1

a = 3.424 Å, b = 3.396 Å, c = 7.943 Å
α = 90.00°, β = 90.08°, γ = 90.00°
Element x y z (fractional)
Ti1 0.000 0.000 0.000
Hg1 0.001 0.500 0.678
Hg2 0.003 0.000 0.360
P1 0.500 0.500 0.027

---

A relaxed structure of TiHg2P. Source: Alexandria, functional GGA-PBE.

Computed properties:
E_tot in eV per atom: -3.5256
Spin magnetization in μB per atom: 0.000
ΔE_f in eV/atom: -0.049
D(E_F) in states/eV per cell: 4.9

a = 4.672 Å, b = 5.977 Å, c = 6.690 Å
α = 70.34°, β = 78.27°, γ = 73.35°
Element x y z (fractional)
Ti1 0.000 0.000 0.000
Ti2 0.097 0.248 0.370
Hg1 0.099 0.741 0.478
Hg2 0.261 0.489 0.922
Hg3 0.543 0.005 0.722
Hg4 0.622 0.674 0.177
P1 0.656 0.170 0.274
P2 0.884 0.350 0.695

---

A relaxed structure of TiHg3P. Source: Alexandria, functional GGA-PBE.

Computed properties:
E_tot in eV per atom: -1.8560
Excess energy over the best structure of this formula in the dataset in eV/atom: 0.125
Spin magnetization in μB per atom: 0.000
ΔE_f in eV/atom: 0.986
D(E_F) in states/eV per cell: 5.9

a = 5.274 Å, b = 5.274 Å, c = 5.274 Å
α = 90.00°, β = 90.00°, γ = 90.00°
Element x y z (fractional)
Ti1 0.000 0.000 0.000
Hg1 0.000 0.000 0.500
Hg2 0.000 0.500 0.000
Hg3 0.500 0.000 0.000
P1 0.500 0.500 0.500

---

A relaxed structure of TiHg2P. Source: Alexandria, functional GGA-PBE.

Computed properties:
E_tot in eV per atom: -3.5615
Spin magnetization in μB per atom: 0.000
ΔE_f in eV/atom: -0.084
D(E_F) in states/eV per cell: 5.8

a = 4.945 Å, b = 6.059 Å, c = 6.571 Å
α = 74.91°, β = 71.96°, γ = 71.46°
Element x y z (fractional)
Ti1 0.000 0.000 0.000
Ti2 0.449 0.243 0.673
Hg1 0.067 0.115 0.531
Hg2 0.239 0.621 0.324
Hg3 0.562 0.668 0.664
Hg4 0.988 0.498 0.991
P1 0.541 0.936 0.979
P2 0.687 0.152 0.316

---

A relaxed structure of TlHgP2. Source: Alexandria, functional GGA-PBE.

Computed properties:
E_tot in eV per atom: -3.0012
Excess energy over the best structure of this formula in the dataset in eV/atom: 0.327
Spin magnetization in μB per atom: 0.000
ΔE_f in eV/atom: 0.371
D(E_F) in states/eV per cell: 1.0

a = 3.803 Å, b = 3.803 Å, c = 6.767 Å
α = 90.00°, β = 90.00°, γ = 90.00°
Element x y z (fractional)
Tl1 0.000 0.000 0.000
Hg1 0.000 0.000 0.500
P1 0.500 0.500 0.341
P2 0.500 0.500 0.659

---

A relaxed structure of TlHg2P2. Source: Alexandria, functional GGA-PBE.

Computed properties:
E_tot in eV per atom: -2.3525
Excess energy over the best structure of this formula in the dataset in eV/atom: 0.197
Spin magnetization in μB per atom: 0.000
ΔE_f in eV/atom: 0.405
D(E_F) in states/eV per cell: 2.0

a = 6.823 Å, b = 6.823 Å, c = 6.823 Å
α = 141.90°, β = 141.90°, γ = 54.99°
Element x y z (fractional)
Tl1 0.000 0.000 0.000
Hg1 0.384 0.384 0.000
Hg2 0.616 0.616 0.000
P1 0.250 0.750 0.500
P2 0.750 0.250 0.500

---

A relaxed structure of TlHgP2. Source: Alexandria, functional GGA-PBE.

Computed properties:
E_tot in eV per atom: -2.7395
Excess energy over the best structure of this formula in the dataset in eV/atom: 0.589
Spin magnetization in μB per atom: 0.000
ΔE_f in eV/atom: 0.632
D(E_F) in states/eV per cell: 1.8

a = 3.962 Å, b = 3.968 Å, c = 5.587 Å
α = 90.00°, β = 90.00°, γ = 90.00°
Element x y z (fractional)
Tl1 0.000 0.000 0.000
Hg1 0.500 0.000 0.500
P1 0.000 0.500 0.500
P2 0.500 0.500 0.000

---

A relaxed structure of TlHgP2. Source: Alexandria, functional GGA-PBE.

Computed properties:
E_tot in eV per atom: -2.7616
Excess energy over the best structure of this formula in the dataset in eV/atom: 0.567
Spin magnetization in μB per atom: 0.000
ΔE_f in eV/atom: 0.610
D(E_F) in states/eV per cell: 2.8

a = 3.530 Å, b = 3.530 Å, c = 7.806 Å
α = 90.00°, β = 90.00°, γ = 110.78°
Element x y z (fractional)
Tl1 0.000 0.000 0.000
Hg1 0.000 0.000 0.500
P1 0.500 0.500 0.279
P2 0.500 0.500 0.721

---

A relaxed structure of TlHgP2. Source: Alexandria, functional GGA-PBE.

Computed properties:
E_tot in eV per atom: -3.2784
Excess energy over the best structure of this formula in the dataset in eV/atom: 0.050
Spin magnetization in μB per atom: 0.000
ΔE_f in eV/atom: 0.094
D(E_F) in states/eV per cell: 0.9

a = 6.254 Å, b = 6.254 Å, c = 6.254 Å
α = 149.40°, β = 125.39°, γ = 63.91°
Element x y z (fractional)
Tl1 0.000 0.000 0.000
Hg1 0.294 0.794 0.500
P1 0.568 0.568 0.000
P2 0.702 0.202 0.500

---

A relaxed structure of TlHgP2. Source: Alexandria, functional GGA-PBE.

Computed properties:
E_tot in eV per atom: -2.6726
Excess energy over the best structure of this formula in the dataset in eV/atom: 0.656
Spin magnetization in μB per atom: 0.000
ΔE_f in eV/atom: 0.699
D(E_F) in states/eV per cell: 2.1

a = 4.739 Å, b = 4.739 Å, c = 3.820 Å
α = 90.00°, β = 90.00°, γ = 90.00°
Element x y z (fractional)
Tl1 0.000 0.000 0.000
Hg1 0.500 0.500 0.000
P1 0.000 0.500 0.500
P2 0.500 0.000 0.500

---

> Look up the D(E_F) of the fifth one.

5.9 states/eV per cell

---

What did the third record say?
A relaxed structure of TiHg2P. Source: Alexandria, functional GGA-PBE.

Computed properties:
E_tot in eV per atom: -3.7357
Spin magnetization in μB per atom: 0.000
ΔE_f in eV/atom: -0.259
D(E_F) in states/eV per cell: 3.1

a = 3.424 Å, b = 3.396 Å, c = 7.943 Å
α = 90.00°, β = 90.08°, γ = 90.00°
Element x y z (fractional)
Ti1 0.000 0.000 0.000
Hg1 0.001 0.500 0.678
Hg2 0.003 0.000 0.360
P1 0.500 0.500 0.027

---

> Among the records above, which one has the lowest ΔE_f?

number 3